! Mg30MnCuO32 GGA+U optimized geometry; values from VASP
&SYSTEM
  ibrav = 0, nat = 64, ntyp = 4
/
ATOMIC_SPECIES
Mg 24.30 Mg.upf
Mn 54.94 Mn.upf
Cu 63.55 Cu.upf
O 16.00 O.upf
ATOMIC_POSITIONS angstrom
Mg 0.000 0.000 0.000
Mg 0.000 2.122 2.137
Mg 0.000 2.122 6.408
Mg 0.000 4.262 0.000
Mg 0.000 4.262 4.272
Mg 0.000 6.402 2.137
Mg 0.000 6.402 6.408
Mg 2.117 2.117 4.272
Mg 2.117 6.407 4.272
Mg 2.122 0.000 2.137
Mg 2.122 0.000 6.408
Mg 2.122 4.262 2.127
Mg 2.122 4.262 6.418
Mg 2.129 2.129 0.000
Mg 2.129 6.395 0.000
Mg 4.262 0.000 0.000
Mg 4.262 0.000 4.272
Mg 4.262 2.122 2.127
Mg 4.262 2.122 6.418
Mg 4.262 4.262 0.000
Mg 4.262 6.402 2.127
Mg 4.262 6.402 6.418
Mg 6.395 2.129 0.000
Mg 6.395 6.395 0.000
Mg 6.402 0.000 2.137
Mg 6.402 0.000 6.408
Mg 6.402 4.262 2.127
Mg 6.402 4.262 6.418
Mg 6.407 2.117 4.272
Mg 6.407 6.407 4.272
Mn 4.262 4.262 4.272
Cu 0.000 0.000 4.272
O 0.000 0.000 2.085
O 0.000 0.000 6.460
O 0.000 2.134 0.000
O 0.000 2.141 4.272
O 0.000 4.262 2.133
O 0.000 4.262 6.412
O 0.000 6.383 4.272
O 0.000 6.390 0.000
O 2.076 4.262 4.272
O 2.123 4.262 0.000
O 2.134 0.000 0.000
O 2.130 2.130 2.141
O 2.130 2.130 6.404
O 2.130 6.394 2.141
O 2.130 6.394 6.404
O 2.141 0.000 4.272
O 4.262 0.000 2.133
O 4.262 0.000 6.412
O 4.262 2.076 4.272
O 4.262 2.123 0.000
O 4.262 4.262 2.077
O 4.262 4.262 6.468
O 4.262 6.401 0.000
O 4.262 6.447 4.272
O 6.383 0.000 4.272
O 6.390 0.000 0.000
O 6.394 2.130 2.141
O 6.394 2.130 6.404
O 6.394 6.394 2.141
O 6.394 6.394 6.404
O 6.401 4.262 0.000
O 6.447 4.262 4.272
CELL_PARAMETERS angstrom
8.524 0.000 0.000
0.000 8.524 0.000
0.000 0.000 8.545
! DFT total energy, eV per formula unit: -384.1